[1]
# InAgSe

An optimized crystal structure of InAgSe (PBE, OQMD via LeMat-Bulk).

```
InAgSe
1.0
4.3797 0.0000 0.0000
0.0000 4.3797 0.0000
0.0000 0.0000 7.7327
In Ag Se
2 2 2
Direct
0.2500 0.2500 0.1616 In
0.7500 0.7500 0.8384 In
0.2500 0.7500 0.5000 Ag
0.7500 0.2500 0.5000 Ag
0.2500 0.2500 0.7259 Se
0.7500 0.7500 0.2741 Se
```

Crystal system = tetragonal
Calculated total energy = -3.173 eV/atom

[2]
# InSiAgTeSe2

An optimized crystal structure of InSiAgTeSe2 (PBE, OQMD via LeMat-Bulk).

```
InSiAgTeSe2
1.0
1.7270 -7.4087 0.0000
1.7270 7.4087 0.0000
0.0000 0.0000 11.2057
In Si Ag Te Se
2 2 2 2 4
Direct
0.1878 0.8122 0.7500 In
0.8122 0.1878 0.2500 In
0.5000 0.5000 0.0000 Si
0.5000 0.5000 0.5000 Si
0.1576 0.8424 0.2500 Ag
0.8424 0.1576 0.7500 Ag
0.4877 0.5123 0.2500 Te
0.5123 0.4877 0.7500 Te
0.1204 0.8796 0.0102 Se
0.1204 0.8796 0.4898 Se
0.8796 0.1204 0.5102 Se
0.8796 0.1204 0.9898 Se
```

Crystal system = orthorhombic
Calculated total energy = -3.645 eV/atom

[3]
# InSiAgTe2Se

An optimized crystal structure of InSiAgTe2Se (PBE, OQMD via LeMat-Bulk).

```
InSiAgTe2Se
1.0
1.9877 -6.5457 0.0000
1.9877 6.5457 0.0000
0.0000 0.0000 11.5781
In Si Ag Te Se
2 2 2 4 2
Direct
0.1817 0.8183 0.7500 In
0.8183 0.1817 0.2500 In
0.5000 0.5000 0.0000 Si
0.5000 0.5000 0.5000 Si
0.1425 0.8575 0.2500 Ag
0.8575 0.1425 0.7500 Ag
0.1476 0.8524 0.0137 Te
0.1476 0.8524 0.4863 Te
0.8524 0.1476 0.5137 Te
0.8524 0.1476 0.9863 Te
0.4791 0.5209 0.2500 Se
0.5209 0.4791 0.7500 Se
```

Crystal system = orthorhombic
Calculated total energy = -3.502 eV/atom

[4]
# InAgSnSe3

An optimized crystal structure of InAgSnSe3 (PBE, OQMD via LeMat-Bulk).

```
InAgSnSe3
1.0
1.9546 -6.8356 0.0000
1.9546 6.8356 0.0000
0.0000 0.0000 10.8734
In Ag Sn Se
2 2 2 6
Direct
0.2286 0.7714 0.7500 In
0.7714 0.2286 0.2500 In
0.4816 0.5184 0.2500 Ag
0.5184 0.4816 0.7500 Ag
0.0000 0.0000 0.0000 Sn
0.0000 0.0000 0.5000 Sn
0.1166 0.8834 0.2500 Se
0.3489 0.6511 0.0703 Se
0.3489 0.6511 0.4297 Se
0.6511 0.3489 0.5703 Se
0.6511 0.3489 0.9297 Se
0.8834 0.1166 0.7500 Se
```

Crystal system = orthorhombic
Distance to the lowest polymorph of the same formula = 127 meV/atom

[5]
# InAgSnSe3

An optimized crystal structure of InAgSnSe3 (PBE, OQMD via LeMat-Bulk).

```
InAgSnSe3
1.0
1.9948 -6.9685 0.0000
1.9948 6.9685 0.0000
0.0000 0.0000 11.0773
In Ag Sn Se
2 2 2 6
Direct
0.0000 0.0000 0.0000 In
0.0000 0.0000 0.5000 In
0.3448 0.6552 0.7500 Ag
0.6552 0.3448 0.2500 Ag
0.3183 0.6817 0.2500 Sn
0.6817 0.3183 0.7500 Sn
0.0424 0.9576 0.7500 Se
0.3646 0.6354 0.5195 Se
0.3646 0.6354 0.9805 Se
0.6354 0.3646 0.0195 Se
0.6354 0.3646 0.4805 Se
0.9576 0.0424 0.2500 Se
```

Crystal system = orthorhombic
Distance to the lowest polymorph of the same formula = 0 meV/atom

[6]
# InAg3SnSe4

An optimized crystal structure of InAg3SnSe4 (PBE, OQMD via LeMat-Bulk).

```
InAg3SnSe4
1.0
6.3053 0.0000 0.0000
0.0000 6.3053 0.0000
0.0000 0.0000 6.3053
In Ag Sn Se
1 3 1 4
Direct
0.0000 0.0000 0.0000 In
0.0000 0.5000 0.5000 Ag
0.5000 0.0000 0.5000 Ag
0.5000 0.5000 0.0000 Ag
0.5000 0.5000 0.5000 Sn
0.2423 0.2423 0.2423 Se
0.2423 0.7577 0.7577 Se
0.7577 0.2423 0.7577 Se
0.7577 0.7577 0.2423 Se
```

Crystal system = cubic
Calculated total energy = -3.446 eV/atom

[7]
# InAgSnTeSe2

An optimized crystal structure of InAgSnTeSe2 (PBE, OQMD via LeMat-Bulk).

```
InAgSnTeSe2
1.0
1.9750 -7.1124 0.0000
1.9750 7.1124 0.0000
0.0000 0.0000 11.4346
In Ag Sn Te Se
2 2 2 2 4
Direct
0.2067 0.7933 0.7500 In
0.7933 0.2067 0.2500 In
0.4843 0.5157 0.2500 Ag
0.5157 0.4843 0.7500 Ag
0.0000 0.0000 0.0000 Sn
0.0000 0.0000 0.5000 Sn
0.1231 0.8769 0.2500 Te
0.8769 0.1231 0.7500 Te
0.3568 0.6432 0.0751 Se
0.3568 0.6432 0.4249 Se
0.6432 0.3568 0.5751 Se
0.6432 0.3568 0.9249 Se
```

Crystal system = orthorhombic
Calculated total energy = -3.471 eV/atom

[8]
# InAgSnTe2Se

An optimized crystal structure of InAgSnTe2Se (PBE, OQMD via LeMat-Bulk).

```
InAgSnTe2Se
1.0
2.0672 -6.9945 0.0000
2.0672 6.9945 0.0000
0.0000 0.0000 11.3617
In Ag Sn Te Se
2 2 2 4 2
Direct
0.2454 0.7546 0.7500 In
0.7546 0.2454 0.2500 In
0.4791 0.5209 0.2500 Ag
0.5209 0.4791 0.7500 Ag
0.0000 0.0000 0.0000 Sn
0.0000 0.0000 0.5000 Sn
0.3454 0.6546 0.0633 Te
0.3454 0.6546 0.4367 Te
0.6546 0.3454 0.5633 Te
0.6546 0.3454 0.9367 Te
0.1038 0.8962 0.2500 Se
0.8962 0.1038 0.7500 Se
```

Crystal system = orthorhombic
Calculated total energy = -3.372 eV/atom

[9]
# TbInAg3Se4

An optimized crystal structure of TbInAg3Se4 (PBE, OQMD via LeMat-Bulk).

```
TbInAg3Se4
1.0
6.2633 0.0000 0.0000
0.0000 7.6018 0.0000
-2.8628 0.0000 9.9883
Tb In Ag Se
2 2 6 8
Direct
0.0926 0.2500 0.2998 Tb
0.9074 0.7500 0.7002 Tb
0.1955 0.2500 0.9123 In
0.8045 0.7500 0.0877 In
0.2979 0.5581 0.5358 Ag
0.2979 0.9419 0.5358 Ag
0.4624 0.7500 0.8043 Ag
0.5376 0.2500 0.1957 Ag
0.7021 0.0581 0.4642 Ag
0.7021 0.4419 0.4642 Ag
0.0634 0.2500 0.5692 Se
0.1996 0.7500 0.9509 Se
0.3527 0.5293 0.2698 Se
0.3527 0.9707 0.2698 Se
0.6473 0.0293 0.7302 Se
0.6473 0.4707 0.7302 Se
0.8004 0.2500 0.0491 Se
0.9366 0.7500 0.4308 Se
```

Crystal system = monoclinic
Distance to the lowest polymorph of the same formula = 73 meV/atom

[10]
# TbInAg3Se4

An optimized crystal structure of TbInAg3Se4 (PBE, OQMD via LeMat-Bulk).

```
TbInAg3Se4
1.0
6.3769 0.0000 0.0000
0.0000 6.3769 0.0000
0.0000 0.0000 6.3769
Tb In Ag Se
1 1 3 4
Direct
0.0000 0.0000 0.0000 Tb
0.5000 0.5000 0.5000 In
0.0000 0.0000 0.5000 Ag
0.0000 0.5000 0.0000 Ag
0.5000 0.0000 0.0000 Ag
0.2475 0.2475 0.7525 Se
0.2475 0.7525 0.2475 Se
0.7525 0.2475 0.2475 Se
0.7525 0.7525 0.7525 Se
```

Crystal system = cubic
Distance to the lowest polymorph of the same formula = 0 meV/atom

[11]
# InTcAgSe3

An optimized crystal structure of InTcAgSe3 (PBE, OQMD via LeMat-Bulk).

```
InTcAgSe3
1.0
1.7014 -8.1012 0.0000
1.7014 8.1012 0.0000
0.0000 0.0000 9.9541
In Tc Ag Se
2 2 2 6
Direct
0.1693 0.8307 0.7500 In
0.8307 0.1693 0.2500 In
0.5000 0.5000 0.0000 Tc
0.5000 0.5000 0.5000 Tc
0.1905 0.8095 0.2500 Ag
0.8095 0.1905 0.7500 Ag
0.1150 0.8850 0.0221 Se
0.1150 0.8850 0.4779 Se
0.4684 0.5316 0.2500 Se
0.5316 0.4684 0.7500 Se
0.8850 0.1150 0.5221 Se
0.8850 0.1150 0.9779 Se
```

Crystal system = orthorhombic
Calculated total energy = -4.565 eV/atom

[12]
# InTcAgTeSe2

An optimized crystal structure of InTcAgTeSe2 (PBE, OQMD via LeMat-Bulk).

```
InTcAgTeSe2
1.0
1.7249 -7.6046 0.0000
1.7249 7.6046 0.0000
0.0000 0.0000 10.5922
In Tc Ag Te Se
2 2 2 2 4
Direct
0.1930 0.8070 0.7500 In
0.8070 0.1930 0.2500 In
0.5000 0.5000 0.0000 Tc
0.5000 0.5000 0.5000 Tc
0.1599 0.8401 0.2500 Ag
0.8401 0.1599 0.7500 Ag
0.4738 0.5262 0.2500 Te
0.5262 0.4738 0.7500 Te
0.1226 0.8774 0.0092 Se
0.1226 0.8774 0.4908 Se
0.8774 0.1226 0.5092 Se
0.8774 0.1226 0.9908 Se
```

Crystal system = orthorhombic
Calculated total energy = -4.433 eV/atom

[13]
# In2Ag2TeSe3

An optimized crystal structure of In2Ag2TeSe3 (PBE, OQMD via LeMat-Bulk).

```
In2Ag2TeSe3
1.0
6.8184 -3.1293 0.0000
6.8184 3.1293 0.0000
-2.8483 0.0000 5.5849
In Ag Te Se
2 2 1 3
Direct
0.1293 0.1293 0.3899 In
0.8707 0.8707 0.6101 In
0.3906 0.3512 0.1301 Ag
0.6488 0.6094 0.8699 Ag
0.2632 0.7368 0.0000 Te
0.0100 0.4899 0.2544 Se
0.5101 0.9900 0.7456 Se
0.7613 0.2387 0.5000 Se
```

Crystal system = monoclinic
Calculated total energy = -3.476 eV/atom

[14]
# InAgTeSe

An optimized crystal structure of InAgTeSe (PBE, OQMD via LeMat-Bulk).

```
InAgTeSe
1.0
4.5093 -4.5100 0.0000
4.5093 4.5100 0.0000
-4.4717 0.0000 6.2001
In Ag Te Se
2 2 2 2
Direct
0.1142 0.8858 0.5000 In
0.8858 0.1142 0.0000 In
0.3857 0.6535 0.9996 Ag
0.6535 0.3857 0.4996 Ag
0.2633 0.5109 0.2499 Te
0.5109 0.2633 0.7499 Te
0.0103 0.7609 0.7499 Se
0.7609 0.0103 0.2499 Se
```

Crystal system = monoclinic
Distance to the lowest polymorph of the same formula = 0 meV/atom

[15]
# InAgTe2WSe

An optimized crystal structure of InAgTe2WSe (PBE, OQMD via LeMat-Bulk).

```
InAgTe2WSe
1.0
1.9824 -7.3976 0.0000
1.9824 7.3976 0.0000
0.0000 0.0000 10.3467
In Ag Te W Se
2 2 4 2 2
Direct
0.2462 0.7538 0.7500 In
0.7538 0.2462 0.2500 In
0.0421 0.9579 0.2500 Ag
0.9579 0.0421 0.7500 Ag
0.1344 0.8656 0.0257 Te
0.1344 0.8656 0.4743 Te
0.8656 0.1344 0.5257 Te
0.8656 0.1344 0.9743 Te
0.5000 0.5000 0.0000 W
0.5000 0.5000 0.5000 W
0.4274 0.5726 0.2500 Se
0.5726 0.4274 0.7500 Se
```

Crystal system = orthorhombic
Calculated total energy = -4.570 eV/atom

[16]
# InAgTeWSe2

An optimized crystal structure of InAgTeWSe2 (PBE, OQMD via LeMat-Bulk).

```
InAgTeWSe2
1.0
1.7465 -8.1695 0.0000
1.7465 8.1695 0.0000
0.0000 0.0000 10.5681
In Ag Te W Se
2 2 2 2 4
Direct
0.1844 0.8156 0.7500 In
0.8156 0.1844 0.2500 In
0.1790 0.8210 0.2500 Ag
0.8210 0.1790 0.7500 Ag
0.4690 0.5310 0.2500 Te
0.5310 0.4690 0.7500 Te
0.5000 0.5000 0.0000 W
0.5000 0.5000 0.5000 W
0.1147 0.8853 0.0206 Se
0.1147 0.8853 0.4794 Se
0.8853 0.1147 0.5206 Se
0.8853 0.1147 0.9794 Se
```

Crystal system = orthorhombic
Calculated total energy = -4.816 eV/atom

[17]
# InAgWSe3

An optimized crystal structure of InAgWSe3 (PBE, OQMD via LeMat-Bulk).

```
InAgWSe3
1.0
1.7307 -8.2945 0.0000
1.7307 8.2945 0.0000
0.0000 0.0000 9.9331
In Ag W Se
2 2 2 6
Direct
0.1696 0.8304 0.7500 In
0.8304 0.1696 0.2500 In
0.1966 0.8034 0.2500 Ag
0.8034 0.1966 0.7500 Ag
0.5000 0.5000 0.0000 W
0.5000 0.5000 0.5000 W
0.1124 0.8876 0.0285 Se
0.1124 0.8876 0.4715 Se
0.4677 0.5323 0.2500 Se
0.5323 0.4677 0.7500 Se
0.8876 0.1124 0.5285 Se
0.8876 0.1124 0.9715 Se
```

Crystal system = orthorhombic
Calculated total energy = -4.973 eV/atom

[18]
# InAg3WSe4

An optimized crystal structure of InAg3WSe4 (PBE, OQMD via LeMat-Bulk).

```
InAg3WSe4
1.0
6.3735 0.0000 0.0000
0.0000 6.3735 0.0000
0.0000 0.0000 6.3735
In Ag W Se
1 3 1 4
Direct
0.0000 0.0000 0.0000 In
0.0000 0.5000 0.5000 Ag
0.5000 0.0000 0.5000 Ag
0.5000 0.5000 0.0000 Ag
0.5000 0.5000 0.5000 W
0.2754 0.2754 0.2754 Se
0.2754 0.7246 0.7246 Se
0.7246 0.2754 0.7246 Se
0.7246 0.7246 0.2754 Se
```

Crystal system = cubic
Calculated total energy = -4.252 eV/atom

[19]
# Sm5In4Ag

An optimized crystal structure of Sm5In4Ag (PBE, OQMD via LeMat-Bulk).

```
Sm5In4Ag
1.0
3.6440 0.0000 0.0000
0.0000 3.6440 0.0000
0.0000 0.0000 20.7061
Sm In Ag
5 4 1
Direct
0.0000 0.0000 0.0000 Sm
0.0000 0.0000 0.2039 Sm
0.0000 0.0000 0.4070 Sm
0.0000 0.0000 0.5930 Sm
0.0000 0.0000 0.7961 Sm
0.5000 0.5000 0.1022 In
0.5000 0.5000 0.3075 In
0.5000 0.5000 0.6925 In
0.5000 0.5000 0.8978 In
0.5000 0.5000 0.5000 Ag
```

Crystal system = tetragonal
Calculated total energy = -4.187 eV/atom

[20]
# SmIn3Ag

An optimized crystal structure of SmIn3Ag (PBE, OQMD via LeMat-Bulk).

```
SmIn3Ag
1.0
6.3993 0.0000 0.0000
-3.1996 5.5419 0.0000
0.0000 0.0000 7.2892
Sm In Ag
2 6 2
Direct
0.0000 0.0000 0.0000 Sm
0.0000 0.0000 0.5000 Sm
0.4697 0.0350 0.2500 In
0.4697 0.4347 0.7500 In
0.5653 0.0350 0.7500 In
0.5653 0.5303 0.2500 In
0.9650 0.4347 0.2500 In
0.9650 0.5303 0.7500 In
0.3333 0.6667 0.0000 Ag
0.3333 0.6667 0.5000 Ag
```

Crystal system = hexagonal
Calculated total energy = -3.321 eV/atom

[21]
# InAgSn2

An optimized crystal structure of InAgSn2 (PBE, OQMD via LeMat-Bulk).

```
InAgSn2
1.0
0.0000 3.6852 3.6852
3.6852 0.0000 3.6852
3.6852 3.6852 0.0000
In Ag Sn
1 1 2
Direct
0.0000 0.0000 0.0000 In
0.2500 0.2500 0.2500 Ag
0.5000 0.5000 0.5000 Sn
0.7500 0.7500 0.7500 Sn
```

Crystal system = cubic
Calculated total energy = -3.295 eV/atom

[22]
# InAg3SnTe4

An optimized crystal structure of InAg3SnTe4 (PBE, OQMD via LeMat-Bulk).

```
InAg3SnTe4
1.0
6.6784 0.0000 0.0000
0.0000 6.6784 0.0000
0.0000 0.0000 6.6784
In Ag Sn Te
1 3 1 4
Direct
0.0000 0.0000 0.0000 In
0.0000 0.5000 0.5000 Ag
0.5000 0.0000 0.5000 Ag
0.5000 0.5000 0.0000 Ag
0.5000 0.5000 0.5000 Sn
0.2448 0.2448 0.2448 Te
0.2448 0.7552 0.7552 Te
0.7552 0.2448 0.7552 Te
0.7552 0.7552 0.2448 Te
```

Crystal system = cubic
Distance to the lowest polymorph of the same formula = 0 meV/atom